Entry 1:
Tc2WBr: relaxed, PBE.

Unit cell a=8.7169 b=8.7169 c=8.7169 alpha=19.63 beta=19.63 gamma=19.63
With the nearest neighbours (Å) after each atom.
Fractional coordinates of all 4 atoms:
Tc (0.2473, 0.2473, 0.2473)  3 W 2.69, 3 Br 2.80, 6 Tc 2.97
Tc (0.7527, 0.7527, 0.7527)  3 W 2.69, 3 Br 2.80, 6 Tc 2.97
W (0.5000, 0.5000, 0.5000)  6 Tc 2.69, 6 W 2.97
Br (0.0000, 0.0000, 0.0000)  6 Tc 2.80, 6 Br 2.97

Formation energy (no corrections)   185 kJ/mol of formula units
Space-group type   R-3m (166)
Relative energy among the computed polymorphs   0.0824 eV per atom
Calculated density   11.7 g cm⁻³

---

Entry 2:
Tc2WBr: relaxed, PBE.

Unit cell a=4.4910 b=4.4910 c=4.4910 alpha=60.00 beta=60.00 gamma=60.00
With the nearest neighbours (Å) after each atom.
Fractional coordinates of all 4 atoms:
Tc (0.2500, 0.2500, 0.2500)  4 W 2.75, 4 Br 2.75
Tc (0.7500, 0.7500, 0.7500)  4 Br 2.75, 4 W 2.75
W (0.0000, 0.0000, 0.0000)  8 Tc 2.75
Br (0.5000, 0.5000, 0.5000)  8 Tc 2.75

Formation energy (no corrections)   394 kJ/mol of formula units
Space-group type   Fm-3m (225)
Relative energy among the computed polymorphs   0.6229 eV per atom
Calculated density   11.9 g cm⁻³

---

Entry 3:
TcWBr: relaxed, PBE.

Unit cell a=7.2336 b=6.9067 c=3.0976 alpha=83.33 beta=71.50 gamma=25.17
With the nearest neighbours (Å) after each atom.
Fractional coordinates of all 3 atoms:
Tc (0.0000, 0.0000, 0.0000)  2 W 2.40
W (0.6347, 0.6347, 0.3653)  2 Tc 2.40
Br (0.3085, 0.3085, 0.6915)  2 W 2.82, 2 Tc 3.02, 6 Br 3.10-3.15

Formation energy (no corrections)   209 kJ/mol of formula units
Space-group type   Fmm2 (42)
Relative energy among the computed polymorphs   0.2711 eV per atom
Calculated density   10.6 g cm⁻³

---

Entry 4:
YTcBr2: relaxed, PBE.

Unit cell a=9.5561 b=9.5561 c=9.5561 alpha=21.23 beta=21.23 gamma=21.23
With the nearest neighbours (Å) after each atom.
Fractional coordinates of all 4 atoms:
Y (0.0000, 0.0000, 0.0000)  6 Br 2.91
Tc (0.5000, 0.5000, 0.5000)  2 Br 2.58
Br (0.4077, 0.4077, 0.4077)  1 Tc 2.58
Br (0.5923, 0.5923, 0.5923)  1 Tc 2.58

Formation energy (no corrections)   -13 kJ/mol of formula units
Space-group type   R-3m (166)
Relative energy among the computed polymorphs   0.4325 eV per atom
Calculated density   5.7 g cm⁻³

---

Entry 5:
YTc4Br: relaxed, PBE.

Unit cell a=5.3474 b=5.3474 c=5.3474 alpha=60.00 beta=60.00 gamma=60.00
With the nearest neighbours (Å) after each atom.
Fractional coordinates of all 6 atoms:
Y (0.0000, 0.0000, 0.0000)  12 Tc 3.14, 4 Br 3.27
Tc (0.3756, 0.3756, 0.3756)  6 Tc 2.66-2.69
Tc (0.3756, 0.3756, 0.8733)  6 Tc 2.66-2.69
Tc (0.3756, 0.8733, 0.3756)  6 Tc 2.66-2.69
Tc (0.8733, 0.3756, 0.3756)  6 Tc 2.66-2.69
Br (0.7500, 0.7500, 0.7500)  12 Tc 3.13, 4 Y 3.27

Formation energy (no corrections)   301 kJ/mol of formula units
Space-group type   F-43m (216)
Calculated density   8.6 g cm⁻³

---

Entry 6:
YTcBr: relaxed, PBE.

Unit cell a=4.5421 b=4.5421 c=4.5421 alpha=60.00 beta=60.00 gamma=60.00
With the nearest neighbours (Å) after each atom.
Fractional coordinates of all 3 atoms:
Y (0.0000, 0.0000, 0.0000)  4 Tc 2.78
Tc (0.2500, 0.2500, 0.2500)  4 Br 2.78, 4 Y 2.78
Br (0.5000, 0.5000, 0.5000)  4 Tc 2.78

Formation energy (no corrections)   142 kJ/mol of formula units
Space-group type   F-43m (216)
Relative energy among the computed polymorphs   1.4053 eV per atom
Calculated density   6.7 g cm⁻³

---

Entry 7:
YTcBr2: relaxed, PBE.

Unit cell a=3.4118 b=4.6107 c=5.7936 alpha=90.00 beta=90.00 gamma=90.00
With the nearest neighbours (Å) after each atom.
Fractional coordinates of all 4 atoms:
Y (0.0000, 0.0000, 0.0000)  4 Br 2.87
Tc (0.5000, 0.0000, 0.5000)  4 Br 2.87
Br (0.0000, 0.5000, 0.5000)  4 Tc 2.87
Br (0.5000, 0.5000, 0.0000)  4 Y 2.87

Formation energy (no corrections)   -3 kJ/mol of formula units
Space-group type   Pmmm (47)
Relative energy among the computed polymorphs   0.4581 eV per atom
Calculated density   6.3 g cm⁻³

---

Entry 8:
YTcBr: relaxed, PBE.

Unit cell a=4.4864 b=4.4864 c=3.4644 alpha=90.00 beta=90.00 gamma=120.00
With the nearest neighbours (Å) after each atom.
Fractional coordinates of all 3 atoms:
Y (0.0000, 0.0000, 0.0000)  6 Br 3.12, 6 Tc 3.12, 2 Y 3.46
Tc (0.6667, 0.3333, 0.5000)  3 Br 2.59
Br (0.3333, 0.6667, 0.5000)  3 Tc 2.59

Formation energy (no corrections)   23 kJ/mol of formula units
Space-group type   P-6m2 (187)
Relative energy among the computed polymorphs   0.9941 eV per atom
Calculated density   7.3 g cm⁻³

---

Entry 9:
YTcBr2: relaxed, PBE.

Unit cell a=4.6803 b=4.6803 c=3.5986 alpha=90.00 beta=90.00 gamma=90.00
With the nearest neighbours (Å) after each atom.
Fractional coordinates of all 4 atoms:
Y (0.0000, 0.0000, 0.0000)  8 Br 2.95
Tc (0.5000, 0.5000, 0.0000)  8 Br 2.95
Br (0.0000, 0.5000, 0.5000)  4 Tc 2.95, 4 Y 2.95
Br (0.5000, 0.0000, 0.5000)  4 Tc 2.95, 4 Y 2.95

Formation energy (no corrections)   11 kJ/mol of formula units
Space-group type   P4/mmm (123)
Relative energy among the computed polymorphs   0.4948 eV per atom
Calculated density   7.3 g cm⁻³

---

Entry 10:
YTc3Br: relaxed, PBE.

Unit cell a=5.1976 b=5.1976 c=5.1976 alpha=90.00 beta=90.00 gamma=90.00
With the nearest neighbours (Å) after each atom.
Fractional coordinates of all 5 atoms:
Y (0.0000, 0.0000, 0.0000)  6 Tc 2.60
Tc (0.0000, 0.0000, 0.5000)  2 Y 2.60
Tc (0.0000, 0.5000, 0.0000)  2 Y 2.60
Tc (0.5000, 0.0000, 0.0000)  2 Y 2.60
Br (0.5000, 0.5000, 0.5000)  12 Tc 3.68

Formation energy (no corrections)   1148 kJ/mol of formula units
Space-group type   Pm-3m (221)
Relative energy among the computed polymorphs   1.3909 eV per atom
Calculated density   5.5 g cm⁻³

---

Entry 11:
YTcBr2: relaxed, PBE.

Unit cell a=6.1069 b=6.1069 c=6.1069 alpha=141.23 beta=141.23 gamma=55.99
With the nearest neighbours (Å) after each atom.
Fractional coordinates of all 4 atoms:
Y (0.0000, 0.0000, 0.0000)  4 Br 2.87
Tc (0.7500, 0.2500, 0.5000)  4 Br 2.87
Br (0.2500, 0.7500, 0.5000)  4 Tc 2.87
Br (0.5000, 0.5000, 0.0000)  4 Y 2.87

Formation energy (no corrections)   39 kJ/mol of formula units
Space-group type   I-4m2 (119)
Relative energy among the computed polymorphs   0.5676 eV per atom
Calculated density   6.5 g cm⁻³

---

Entry 12:
YTcBr2: relaxed, PBE.

Unit cell a=7.4982 b=7.4982 c=7.4982 alpha=153.84 beta=147.42 gamma=42.26
With the nearest neighbours (Å) after each atom.
Fractional coordinates of all 4 atoms:
Y (0.0000, 0.0000, 0.0000)  2 Tc 2.79, 6 Br 2.97-3.08
Tc (0.8420, 0.3420, 0.5000)  4 Br 2.70, 2 Y 2.79
Br (0.3498, 0.8498, 0.5000)  4 Tc 2.70, 2 Y 2.97
Br (0.6056, 0.6056, 0.0000)  4 Y 3.08, 2 Br 3.39

Formation energy (no corrections)   -98 kJ/mol of formula units
Space-group type   Imm2 (44)
Relative energy among the computed polymorphs   0.2107 eV per atom
Calculated density   5.8 g cm⁻³

---

Entry 13:
YTcBr2: relaxed, PBE.

Unit cell a=5.9509 b=5.9509 c=5.8440 alpha=91.65 beta=91.65 gamma=33.63
With the nearest neighbours (Å) after each atom.
Fractional coordinates of all 4 atoms:
Y (0.0000, 0.0000, 0.0000)  2 Tc 2.76, 3 Br 2.99-3.00
Tc (0.6381, 0.6381, 0.7555)  3 Br 2.52-2.54, 2 Y 2.76
Br (0.2617, 0.2617, 0.9743)  2 Tc 2.54
Br (0.4943, 0.4943, 0.4191)  1 Tc 2.52

Formation energy (no corrections)   -105 kJ/mol of formula units
Space-group type   Cm (8)
Relative energy among the computed polymorphs   0.1944 eV per atom
Calculated density   5.0 g cm⁻³

---

Entry 14:
YTcBr2: relaxed, PBE.

Unit cell a=9.3734 b=9.3734 c=9.3734 alpha=21.75 beta=21.75 gamma=21.75
With the nearest neighbours (Å) after each atom.
Fractional coordinates of all 4 atoms:
Y (0.0000, 0.0000, 0.0000)  2 Br 2.91
Tc (0.5000, 0.5000, 0.5000)  6 Br 2.64
Br (0.1060, 0.1060, 0.1060)  3 Tc 2.64, 1 Y 2.91
Br (0.8940, 0.8940, 0.8940)  3 Tc 2.64, 1 Y 2.91

Formation energy (no corrections)   89 kJ/mol of formula units
Space-group type   R-3m (166)
Relative energy among the computed polymorphs   0.6972 eV per atom
Calculated density   5.8 g cm⁻³

---

Entry 15:
YTcBr: relaxed, PBE.

Unit cell a=11.9567 b=11.9567 c=11.9567 alpha=19.60 beta=19.60 gamma=19.60
With the nearest neighbours (Å) after each atom.
Fractional coordinates of all 6 atoms:
Y (0.0623, 0.0623, 0.0623)  3 Br 2.99, 6 Tc 3.09-3.34
Y (0.9377, 0.9377, 0.9377)  3 Br 2.99, 6 Tc 3.09-3.34
Tc (0.3386, 0.3386, 0.3386)  3 Tc 2.38
Tc (0.6614, 0.6614, 0.6614)  3 Tc 2.38
Br (0.2187, 0.2187, 0.2187)  3 Y 2.99
Br (0.7813, 0.7813, 0.7813)  3 Y 2.99

Formation energy (no corrections)   -265 kJ/mol of formula units
Space-group type   R-3m (166)
Relative energy among the computed polymorphs   0.0000 eV per atom
Calculated density   5.3 g cm⁻³

---

Entry 16:
YTc3Br: relaxed, PBE.

Unit cell a=4.6121 b=4.6121 c=4.6121 alpha=90.00 beta=90.00 gamma=90.00
With the nearest neighbours (Å) after each atom.
Fractional coordinates of all 5 atoms:
Y (0.0000, 0.0000, 0.0000)  12 Tc 3.26
Tc (0.0000, 0.5000, 0.5000)  2 Br 2.31
Tc (0.5000, 0.0000, 0.5000)  2 Br 2.31
Tc (0.5000, 0.5000, 0.0000)  2 Br 2.31
Br (0.5000, 0.5000, 0.5000)  6 Tc 2.31

Formation energy (no corrections)   477 kJ/mol of formula units
Space-group type   Pm-3m (221)
Relative energy among the computed polymorphs   0.0000 eV per atom
Calculated density   7.8 g cm⁻³

---

Entry 17:
YTcBr2: relaxed, PBE.

Unit cell a=4.2077 b=3.4410 c=7.9494 alpha=90.00 beta=105.24 gamma=90.00
With the nearest neighbours (Å) after each atom.
Fractional coordinates of all 4 atoms:
Y (0.0000, 0.0000, 0.0000)  4 Tc 2.91, 4 Br 3.13-3.14
Tc (0.5680, 0.5000, 0.1364)  3 Br 2.52-2.61
Br (0.3962, 0.5000, 0.7960)  1 Tc 2.61
Br (0.6889, 0.0000, 0.3758)  2 Tc 2.52

Formation energy (no corrections)   -180 kJ/mol of formula units
Space-group type   Pm (6)
Relative energy among the computed polymorphs   0.0000 eV per atom
Calculated density   5.2 g cm⁻³

---

Entry 18:
YTcBr: relaxed, PBE.

Unit cell a=3.5006 b=3.5006 c=6.8099 alpha=90.00 beta=90.00 gamma=120.00
With the nearest neighbours (Å) after each atom.
Fractional coordinates of all 3 atoms:
Y (0.0000, 0.0000, 0.0000)  3 Tc 2.89, 3 Br 2.95
Tc (0.3333, 0.6667, 0.6972)  3 Y 2.89
Br (0.6667, 0.3333, 0.3165)  3 Y 2.95, 3 Tc 3.29

Formation energy (no corrections)   38 kJ/mol of formula units
Space-group type   P3m1 (156)
Relative energy among the computed polymorphs   1.0458 eV per atom
Calculated density   6.1 g cm⁻³

---

Entry 19:
YTcBr2: relaxed, PBE.

Unit cell a=9.4818 b=9.4818 c=9.4818 alpha=151.28 beta=151.28 gamma=41.07
With the nearest neighbours (Å) after each atom.
Fractional coordinates of all 8 atoms:
Y (0.0000, 0.0000, 0.0000)  4 Br 2.82
Y (0.7500, 0.2500, 0.5000)  4 Br 2.82
Tc (0.2500, 0.7500, 0.5000)  4 Br 2.73
Tc (0.5000, 0.5000, 0.0000)  4 Br 2.73
Br (0.1460, 0.6250, 0.0210)  2 Tc 2.73, 2 Y 2.82
Br (0.3750, 0.3960, 0.5210)  2 Tc 2.73, 2 Y 2.82
Br (0.6040, 0.1250, 0.9790)  2 Tc 2.73, 2 Y 2.82
Br (0.8750, 0.8540, 0.4790)  2 Tc 2.73, 2 Y 2.82

Formation energy (no corrections)   -36 kJ/mol of formula units
Space-group type   I-42d (122)
Relative energy among the computed polymorphs   0.3729 eV per atom
Calculated density   5.9 g cm⁻³

---

Entry 20:
YTcBr: relaxed, PBE.

Unit cell a=6.7991 b=6.7968 c=3.3016 alpha=75.98 beta=75.91 gamma=28.11
With the nearest neighbours (Å) after each atom.
Fractional coordinates of all 3 atoms:
Y (0.0000, 0.0000, 0.0000)  4 Tc 3.00, 4 Br 3.14, 4 Y 3.30
Tc (0.6476, 0.6476, 0.3524)  4 Y 3.00, 4 Tc 3.30, 4 Br 3.34-3.35
Br (0.3355, 0.3355, 0.6645)  4 Y 3.14, 4 Br 3.30, 4 Tc 3.34-3.35

Formation energy (no corrections)   37 kJ/mol of formula units
Space-group type   Fmm2 (42)
Relative energy among the computed polymorphs   1.0435 eV per atom
Calculated density   6.4 g cm⁻³